(1)
The following is a PBE calculation of crystalline YFe2SnRh at its relaxed geometry, from Alexandria.

## Properties
* ΔH_f (0 K): 1.715 eV per atom

Cell lengths 4.591, 4.591, 5.545 Å; angles 90.00, 90.00, 90.00 degrees
Space group P4/mmm (No. 123)
One atom of each set of equivalent atoms:
Y: 0.000 0.000 0.000 x1
Fe: 0.000 0.500 0.000 x2
Sn: 0.000 0.000 0.500 x1
Rh: 0.500 0.500 0.500 x1

---

(2)
The following is a PBE calculation of crystalline RuPt2Se at its relaxed geometry, from Alexandria.

## Properties
* formation energy (no corrections): 0.205 eV per atom

Cell lengths 9.398, 2.890, 4.896 Å; angles 90.00, 99.36, 90.00 degrees
Space group Cm (No. 8)
One atom of each set of equivalent atoms:
Ru: 0.000 0.000 0.000 x2
Pt: 0.005 0.500 0.522 x2
Pt: 0.261 0.000 0.753 x2
Se: 0.197 0.500 0.211 x2